CaMg2Ta after structural relaxation. Source: the Alexandria database, functional PBE.

```
data_CaMg2Ta
_chemical_formula_sum 'Ca4 Mg8 Ta4'
_cell_length_a 7.2572
_cell_length_b 7.2572
_cell_length_c 7.2572
_cell_angle_alpha 90.00
_cell_angle_beta 90.00
_cell_angle_gamma 90.00
_symmetry_space_group_name_H-M 'F -4 3 m'
_symmetry_Int_Tables_number 216
_symmetry_space_group_name_Hall 'F -4 2 3'
loop_
_atom_site_label
_atom_site_type_symbol
_atom_site_fract_x
_atom_site_fract_y
_atom_site_fract_z
Ca1 Ca 0.0000 0.0000 0.0000
Mg1 Mg 0.0000 0.0000 0.5000
Mg2 Mg 0.2500 0.2500 0.7500
Ta1 Ta 0.2500 0.2500 0.2500
```

M_tot = 10.2 Bohr magnetons per cell
Fermi-level density of states = 3.5 states/eV/f.u.
Uncorrected energy = -3.602 eV per atom
E_form = 254 kJ/mol of formula units

---

TiSiSbTe2 after structural relaxation. Source: the Alexandria database, functional PBE.

```
data_TiSiSbTe2
_chemical_formula_sum 'Ti1 Si1 Sb1 Te2'
_cell_length_a 5.2505
_cell_length_b 5.2505
_cell_length_c 5.3453
_cell_angle_alpha 90.00
_cell_angle_beta 90.00
_cell_angle_gamma 90.00
_symmetry_space_group_name_H-M 'P 4/m m m'
_symmetry_Int_Tables_number 123
_symmetry_space_group_name_Hall '-P 4 2'
loop_
_atom_site_label
_atom_site_type_symbol
_atom_site_fract_x
_atom_site_fract_y
_atom_site_fract_z
Ti1 Ti 0.0000 0.0000 0.0000
Si1 Si 0.5000 0.5000 0.5000
Sb1 Sb 0.0000 0.0000 0.5000
Te1 Te 0.0000 0.5000 0.0000
```

M_tot = 0.0 Bohr magnetons per cell
Fermi-level density of states = 4.5 states/eV/f.u.
Uncorrected energy = -4.297 eV per atom
Formation energy (no corrections) = 447 meV/atom
Offset from the most stable computed form = 0.0000 eV/atom

---

Pu3TeN3 after structural relaxation. Source: the Alexandria database, functional PBE.

```
data_Pu3TeN3
_chemical_formula_sum 'Pu18 Te6 N18'
_cell_length_a 6.6519
_cell_length_b 6.6519
_cell_length_c 22.3268
_cell_angle_alpha 90.00
_cell_angle_beta 90.00
_cell_angle_gamma 120.00
_symmetry_space_group_name_H-M 'R -3'
_symmetry_Int_Tables_number 148
_symmetry_space_group_name_Hall '-R 3'
loop_
_atom_site_label
_atom_site_type_symbol
_atom_site_fract_x
_atom_site_fract_y
_atom_site_fract_z
Pu1 Pu 0.0017 0.6595 0.3943
Te1 Te 0.0000 0.0000 0.1665
N1 N 0.0037 0.6749 0.6276
```

M_tot = 78.0 Bohr magnetons per cell
Fermi-level density of states = 16.1 states/eV/f.u.
Uncorrected energy = -11.388 eV per atom
Formation energy (no corrections) = -1228 meV/atom